# MnCO2F (PBE with a Hubbard U, relaxed)
# - Raw total energy: -5.72 eV per atom
data_MnCO2F
_cell_length_a 3.481
_cell_length_b 3.481
_cell_length_c 3.715
_cell_angle_alpha 90.00
_cell_angle_beta 90.00
_cell_angle_gamma 90.00
_space_group_name_H-M_alt 'P 4/m m m'
_space_group_IT_number 123
_space_group_name_Hall '-P 4 2'
loop_
_atom_site_label
_atom_site_type_symbol
_atom_site_fract_x
_atom_site_fract_y
_atom_site_fract_z
Mn1 Mn 0.000 0.000 0.000
C1 C 0.500 0.500 0.500
O1 O 0.000 0.500 0.500
F1 F 0.500 0.500 0.000